[1]
{
  "formula": "SmHoPt2",
  "functional": "PBE",
  "state": "relaxed",
  "lattice_angstrom": [[3.520, 0.000, 0.000], [0.000, 3.520, 0.000], [0.000, 0.000, 7.066]],
  "species": ["Sm", "Ho", "Pt", "Pt"],
  "fractional_positions": [[0.000, 0.000, 0.000], [0.000, 0.000, 0.500], [0.500, 0.500, 0.263], [0.500, 0.500, 0.737]],
  "crystal_system": "tetragonal",
  "polymorph_energy_mev_per_atom": 75,
  "delta_e_f_kj_per_mol_atoms": -113
}

=====

[2]
{
  "formula": "YNbCu2",
  "functional": "PBE",
  "state": "relaxed",
  "lattice_angstrom": [[-3.701, 3.701, 2.788], [3.701, -3.701, 2.788], [3.701, 3.701, -2.788]],
  "species": ["Y", "Y", "Nb", "Nb", "Cu", "Cu", "Cu", "Cu"],
  "fractional_positions": [[0.000, 0.000, 0.000], [0.750, 0.250, 0.500], [0.250, 0.750, 0.500], [0.500, 0.500, 0.000], [0.154, 0.625, 0.029], [0.375, 0.404, 0.529], [0.596, 0.125, 0.971], [0.875, 0.846, 0.471]],
  "crystal_system": "tetragonal",
  "polymorph_energy_mev_per_atom": 316,
  "delta_e_f_kj_per_mol_atoms": 43
}

=====

[3]
{
  "formula": "AlAsCl",
  "functional": "PBE",
  "state": "relaxed",
  "lattice_angstrom": [[3.389, 0.000, 0.000], [-1.695, 2.935, 0.000], [0.000, 0.000, 7.266]],
  "species": ["Al", "As", "Cl"],
  "fractional_positions": [[0.000, 0.000, 0.000], [0.667, 0.333, 0.222], [0.333, 0.667, 0.779]],
  "e_form_raw_ev_per_atom": -0.515,
  "crystal_system": "trigonal"
}